[1]
## BaTcPt2 (SCAN)

Data for a crystal of BaTcPt2 relaxed with PBEsol.

Cell lengths 4.3078, 4.3078, 8.3123 Å; angles 90.00, 90.00, 90.00 degrees
Last column: nearest neighbours and their distance in Å.
Fractional positions:
1 Ba 0.0000 0.0000 0.0000  4 Tc 2.99, 8 Pt 2.99-3.05
2 Ba 0.5000 0.5000 0.5000  4 Tc 2.99, 8 Pt 2.99-3.05
3 Tc 0.0000 0.5000 0.7500  4 Ba 2.99, 8 Pt 2.99-3.05
4 Tc 0.5000 0.0000 0.2500  4 Ba 2.99, 8 Pt 2.99-3.05
5 Pt 0.0000 0.0000 0.5000  4 Tc 2.99, 4 Pt 2.99, 4 Ba 3.05
6 Pt 0.0000 0.5000 0.2500  4 Ba 2.99, 4 Pt 2.99, 4 Tc 3.05
7 Pt 0.5000 0.0000 0.7500  4 Ba 2.99, 4 Pt 2.99, 4 Tc 3.05
8 Pt 0.5000 0.5000 0.0000  4 Tc 2.99, 4 Pt 2.99, 4 Ba 3.05

Properties
Energy above the most stable polymorph in this dataset (eV/f.u.): 1.59
Size of the total moment (μB per atom): 0.79
D(E_F) (states/eV/cell): 5.32


[2]
## Mn2SbAs (SCAN)

Data for a crystal of Mn2SbAs relaxed with PBEsol.

Cell lengths 7.0947, 7.0947, 5.7696 Å; angles 90.00, 90.00, 90.00 degrees
Last column: nearest neighbours and their distance in Å.
Fractional positions:
1 Mn 0.2246 0.2500 0.1250  2 As 2.49, 2 Sb 2.74
2 Mn 0.2500 0.7246 0.3750  2 As 2.49, 2 Sb 2.74
3 Mn 0.2500 0.7754 0.8750  2 As 2.49, 2 Sb 2.74
4 Mn 0.2754 0.2500 0.6250  2 As 2.49, 2 Sb 2.74
5 Mn 0.7246 0.7500 0.6250  2 As 2.49, 2 Sb 2.74
6 Mn 0.7500 0.2246 0.8750  2 As 2.49, 2 Sb 2.74
7 Mn 0.7500 0.2754 0.3750  2 As 2.49, 2 Sb 2.74
8 Mn 0.7754 0.7500 0.1250  2 As 2.49, 2 Sb 2.74
9 Sb 0.0000 0.0000 0.5000  4 Mn 2.74, 2 As 2.88
10 Sb 0.0000 0.5000 0.7500  4 Mn 2.74, 2 As 2.88
11 Sb 0.5000 0.0000 0.2500  4 Mn 2.74, 2 As 2.88
12 Sb 0.5000 0.5000 0.0000  4 Mn 2.74, 2 As 2.88
13 As 0.0000 0.0000 0.0000  4 Mn 2.49
14 As 0.0000 0.5000 0.2500  4 Mn 2.49
15 As 0.5000 0.0000 0.7500  4 Mn 2.49
16 As 0.5000 0.5000 0.5000  4 Mn 2.49

Properties
Size of the total moment (μB per atom): 2.01
D(E_F) (states/eV/cell): 7.76
Raw formation energy (eV per atom): -0.070


[3]
## YCr2W (SCAN)

Data for a crystal of YCr2W relaxed with PBEsol.

Cell lengths 2.8742, 4.0695, 5.9349 Å; angles 90.00, 102.15, 90.00 degrees
Last column: nearest neighbours and their distance in Å.
Fractional positions:
1 Y 0.0000 0.0000 0.0000  2 Y 2.87, 4 Cr 2.99, 2 W 3.01
2 Cr 0.2121 0.5000 0.6663  1 Cr 2.09
3 Cr 0.7879 0.5000 0.3337  1 Cr 2.09
4 W 0.5000 0.0000 0.5000  4 Cr 2.48

Properties
Energy above the most stable polymorph in this dataset (eV/f.u.): 0.00
Size of the total moment (μB per atom): 0.00
D(E_F) (states/eV/cell): 3.87


[4]
## Y3Ir (SCAN)

Data for a crystal of Y3Ir relaxed with PBEsol.

Cell lengths 4.2434, 4.2434, 10.2360 Å; angles 90.00, 90.00, 90.00 degrees
Last column: nearest neighbours and their distance in Å.
Fractional positions:
1 Y 0.0000 0.0000 0.0000  4 Ir 3.00, 8 Y 3.32
2 Y 0.0000 0.5000 0.2500  8 Y 3.00-3.32, 4 Ir 3.32
3 Y 0.0000 0.5000 0.7500  8 Y 3.00-3.32, 4 Ir 3.32
4 Y 0.5000 0.0000 0.2500  8 Y 3.00-3.32, 4 Ir 3.32
5 Y 0.5000 0.0000 0.7500  8 Y 3.00-3.32, 4 Ir 3.32
6 Y 0.5000 0.5000 0.5000  4 Ir 3.00, 8 Y 3.32
7 Ir 0.0000 0.0000 0.5000  12 Y 3.00-3.32
8 Ir 0.5000 0.5000 0.0000  12 Y 3.00-3.32

Properties
Size of the total moment (μB per atom): 0.00
D(E_F) (states/eV/cell): 9.67
Electronic total energy (eV/atom): -38.84


[5]
## Sr3CaO4 (SCAN)

Data for a crystal of Sr3CaO4 relaxed with PBEsol.

Cell lengths 5.0567, 5.0567, 5.0567 Å; angles 90.00, 90.00, 90.00 degrees
Last column: nearest neighbours and their distance in Å.
Fractional positions:
1 Sr 0.0000 0.0000 0.5000  6 O 2.53
2 Sr 0.0000 0.5000 0.0000  6 O 2.53
3 Sr 0.5000 0.0000 0.0000  6 O 2.53
4 Ca 0.5000 0.5000 0.5000  6 O 2.53
5 O 0.0000 0.0000 0.0000  6 Sr 2.53
6 O 0.0000 0.5000 0.5000  2 Ca 2.53, 4 Sr 2.53
7 O 0.5000 0.0000 0.5000  2 Ca 2.53, 4 Sr 2.53
8 O 0.5000 0.5000 0.0000  2 Ca 2.53, 4 Sr 2.53

Properties
Size of the total moment (μB per atom): 0.00
D(E_F) (states/eV/cell): 0.00
Raw formation energy (eV per atom): -3.025


[6]
## ScCrSb2I (SCAN)

Data for a crystal of ScCrSb2I relaxed with PBEsol.

Cell lengths 5.4383, 5.4383, 5.4960 Å; angles 90.00, 90.00, 90.00 degrees
Last column: nearest neighbours and their distance in Å.
Fractional positions:
1 Sc 0.0000 0.0000 0.0000  4 Sb 2.72, 2 I 2.75
2 Cr 0.5000 0.5000 0.5000  4 I 3.85, 8 Sb 3.87
3 Sb 0.0000 0.5000 0.0000  2 Sc 2.72
4 Sb 0.5000 0.0000 0.0000  2 Sc 2.72
5 I 0.0000 0.0000 0.5000  2 Sc 2.75

Properties
Size of the total moment (μB per atom): 0.82
D(E_F) (states/eV/cell): 2.90
Raw formation energy (eV per atom): 0.307


[7]
## AlP4Cl (SCAN)

Data for a crystal of AlP4Cl relaxed with PBEsol.

Cell lengths 5.6211, 5.6211, 5.6211 Å; angles 60.00, 60.00, 60.00 degrees
Last column: nearest neighbours and their distance in Å.
Fractional positions:
1 Al 0.0000 0.0000 0.0000  12 P 3.38, 4 Cl 3.44
2 P 0.4020 0.4020 0.4020  3 P 2.20
3 P 0.4020 0.4020 0.7939  3 P 2.20
4 P 0.4020 0.7939 0.4020  3 P 2.20
5 P 0.7939 0.4020 0.4020  3 P 2.20
6 Cl 0.7500 0.7500 0.7500  12 P 3.25, 4 Al 3.44

Properties
Size of the total moment (μB per atom): 0.00
Raw formation energy (eV per atom): 0.196


[8]
## Lu3Cd (SCAN)

Data for a crystal of Lu3Cd relaxed with PBEsol.

Cell lengths 4.6568, 4.6568, 4.6568 Å; angles 90.00, 90.00, 90.00 degrees
Last column: nearest neighbours and their distance in Å.
Fractional positions:
1 Lu 0.0000 0.0000 0.5000  4 Cd 3.29, 8 Lu 3.29
2 Lu 0.0000 0.5000 0.0000  4 Cd 3.29, 8 Lu 3.29
3 Lu 0.5000 0.0000 0.0000  4 Cd 3.29, 8 Lu 3.29
4 Cd 0.5000 0.5000 0.5000  12 Lu 3.29

Properties
Size of the total moment (μB per atom): 0.02
D(E_F) (states/eV/cell): 3.82
Electronic total energy (eV/atom): -49.27


[9]
## Au3OF (SCAN)

Data for a crystal of Au3OF relaxed with PBEsol.

Cell lengths 4.3196, 4.3196, 4.3196 Å; angles 90.00, 90.00, 90.00 degrees
Last column: nearest neighbours and their distance in Å.
Fractional positions:
1 Au 0.0000 0.0000 0.5000  2 O 2.16
2 Au 0.0000 0.5000 0.0000  2 O 2.16
3 Au 0.5000 0.0000 0.0000  2 O 2.16
4 O 0.0000 0.0000 0.0000  6 Au 2.16
5 F 0.5000 0.5000 0.5000  12 Au 3.05

Properties
Size of the total moment (μB per atom): 0.00
D(E_F) (states/eV/cell): 2.88
Raw formation energy (eV per atom): 0.290